A plane-wave DFT calculation with PBE with a Hubbard U was carried out for a geometry-optimized KCoNO2 structure.

Results
The density of states at the Fermi level is 3.705 states/eV/cell. Its total energy is -23.96 eV/cell.

a b c (Å): 4.016 4.016 3.620
angles (deg): 90.00 90.00 90.00
Site moments in Bohr magnetons follow the coordinates.
Atoms (fractional coordinates):
K  0.500  0.500  0.500  0.01
Co  0.000  0.000  0.000  1.97
O  0.000  0.500  0.000  0.18
O  0.500  0.000  0.000  0.18
N  0.000  0.000  0.500  -0.38